1.
The following is a DFT calculation (GGA-PBE) of an optimized crystal structure of MnBeCrAg2.

Cell lengths 4.3553, 4.3553, 4.0799 Å; angles 90.00, 90.00, 90.00 degrees
Closest atoms and distances in Å follow each position.
Positions (direct):
Mn  0.0000  0.0000  0.0000  2 Be 2.04
Be  0.0000  0.0000  0.5000  2 Mn 2.04, 4 Ag 2.18
Cr  0.5000  0.5000  0.0000  8 Ag 2.98, 4 Mn 3.08
Ag  0.0000  0.5000  0.5000  2 Be 2.18
Ag  0.5000  0.0000  0.5000  2 Be 2.18

Summary:
Crystal system   tetragonal
Volume   15.5 Å³/atom
Space group   No. 123
DOS at the Fermi energy   7.4 states/eV/cell
Theoretical density   7117 kg/m³
Total energy   -4.7614 eV per atom
Formation enthalpy at 0 K   0.88 eV per atom

2.
The following is a DFT calculation (GGA-PBE) of an optimized crystal structure of NaBeCr2Ag.

Cell lengths 4.8559, 4.8559, 4.3815 Å; angles 90.00, 90.00, 90.00 degrees
Closest atoms and distances in Å follow each position.
Positions (direct):
Na  0.0000  0.0000  0.0000  2 Be 2.19, 4 Cr 2.43
Be  0.0000  0.0000  0.5000  2 Na 2.19
Cr  0.0000  0.5000  0.0000  2 Na 2.43
Cr  0.5000  0.0000  0.0000  2 Na 2.43
Ag  0.5000  0.5000  0.5000  8 Cr 3.27, 4 Be 3.43

Summary:
Crystal system   tetragonal
Volume   20.7 Å³/atom
Space group   No. 123
DOS at the Fermi energy   3.0 states/eV/cell
Theoretical density   3919 kg/m³
Total energy   -3.6406 eV per atom
Formation enthalpy at 0 K   1.79 eV per atom

3.
The following is a DFT calculation (GGA-PBE) of an optimized crystal structure of Na2BeCrAg.

Cell lengths 5.5516, 5.5516, 4.5026 Å; angles 90.00, 90.00, 90.00 degrees
Closest atoms and distances in Å follow each position.
Positions (direct):
Na  0.0000  0.5000  0.0000  2 Cr 2.78
Na  0.5000  0.0000  0.0000  2 Cr 2.78
Be  0.0000  0.0000  0.5000  2 Cr 2.25
Cr  0.0000  0.0000  0.0000  2 Be 2.25
Ag  0.5000  0.5000  0.5000  8 Na 3.57, 4 Be 3.93

Summary:
Crystal system   tetragonal
Volume   27.8 Å³/atom
Space group   No. 123
DOS at the Fermi energy   2.5 states/eV/cell
Theoretical density   2571 kg/m³
Total energy   -2.6957 eV per atom
Formation enthalpy at 0 K   1.07 eV per atom

4.
The following is a DFT calculation (GGA-PBE) of an optimized crystal structure of BeNbCr2Ag.

Cell lengths 4.5631, 4.5631, 4.9014 Å; angles 90.00, 90.00, 90.00 degrees
Closest atoms and distances in Å follow each position.
Positions (direct):
Be  0.0000  0.0000  0.0000  4 Nb 3.23, 8 Cr 3.35
Nb  0.5000  0.5000  0.0000  2 Ag 2.45
Cr  0.0000  0.5000  0.5000  2 Ag 2.28
Cr  0.5000  0.0000  0.5000  2 Ag 2.28
Ag  0.5000  0.5000  0.5000  4 Cr 2.28, 2 Nb 2.45

Summary:
Crystal system   tetragonal
Volume   20.4 Å³/atom
Space group   No. 123
DOS at the Fermi energy   7.9 states/eV/cell
Theoretical density   5106 kg/m³
Total energy   -4.7384 eV per atom
Formation enthalpy at 0 K   2.44 eV per atom

> Look up the total energy of the second one.

-3.6406 eV per atom

> What is the volume in the second record?

20.7 Å³/atom